Record 1
Compound: Pr2TmCuTe5
Source: Alexandria via LeMat-Bulk
Functional: PBE-GGA
Structure: relaxed

raw formation energy: -10.88 eV per formula unit
crystal system: orthorhombic

Cell: 4.323 9.777 13.027 Å, 90.00 90.00 102.77°
Atoms (fractional coordinates):
Pr (0.875, 0.751, 0.806)
Pr (0.109, 0.219, 0.687)
Pr (0.125, 0.249, 0.306)
Pr (0.891, 0.781, 0.187)
Tm (0.809, 0.619, 0.509)
Tm (0.191, 0.381, 0.009)
Cu (0.573, 0.145, 0.958)
Cu (0.427, 0.855, 0.458)
Te (0.353, 0.706, 0.999)
Te (0.690, 0.379, 0.845)
Te (0.500, 0.001, 0.787)
Te (0.286, 0.571, 0.669)
Te (0.957, 0.915, 0.563)
Te (0.647, 0.294, 0.499)
Te (0.310, 0.621, 0.345)
Te (0.500, 0.999, 0.287)
Te (0.714, 0.429, 0.169)
Te (0.043, 0.085, 0.063)

***

Record 2
Compound: Pr2YCuTe5
Source: Alexandria via LeMat-Bulk
Functional: PBE-GGA
Structure: relaxed

raw formation energy: -10.99 eV per formula unit
crystal system: orthorhombic

Cell: 4.337 9.815 13.063 Å, 90.00 90.00 102.76°
Atoms (fractional coordinates):
Pr (0.876, 0.752, 0.807)
Pr (0.109, 0.218, 0.686)
Pr (0.124, 0.248, 0.307)
Pr (0.891, 0.782, 0.186)
Y (0.809, 0.618, 0.510)
Y (0.191, 0.382, 0.010)
Cu (0.571, 0.142, 0.958)
Cu (0.429, 0.858, 0.458)
Te (0.355, 0.709, 0.999)
Te (0.688, 0.376, 0.843)
Te (0.500, 0.000, 0.786)
Te (0.286, 0.572, 0.672)
Te (0.958, 0.916, 0.563)
Te (0.645, 0.291, 0.499)
Te (0.312, 0.624, 0.343)
Te (0.500, 0.000, 0.286)
Te (0.714, 0.428, 0.172)
Te (0.042, 0.084, 0.063)

***

Record 3
Compound: PrThCu2
Source: Alexandria via LeMat-Bulk
Functional: PBE-GGA
Structure: relaxed

formation enthalpy at 0 K: -0.06 eV per atom
polymorph energy (0 for the lowest one): 0.059 eV per atom
crystal system: cubic

Cell: 5.083 5.083 5.083 Å, 60.00 60.00 60.00°
Site moments in Bohr magnetons follow the coordinates.
Atoms (fractional coordinates):
Pr (0.500, 0.500, 0.500)  0.09
Cu (0.250, 0.250, 0.250)  0.02
Cu (0.750, 0.750, 0.750)  0.02
Th (0.000, 0.000, 0.000)  0.10

***

Record 4
Compound: PrThCu2
Source: Alexandria via LeMat-Bulk
Functional: PBE-GGA
Structure: relaxed

formation enthalpy at 0 K: -0.12 eV per atom
polymorph energy (0 for the lowest one): 0.000 eV per atom
crystal system: monoclinic

Cell: 3.794 4.365 6.019 Å, 90.00 109.17 90.00°
Atoms (fractional coordinates):
Pr (0.733, 0.000, 0.000)
Th (0.439, 0.500, 0.420)
Cu (0.146, 0.500, 0.830)
Cu (0.013, 0.000, 0.567)

***

Record 5
Compound: PrThCu2
Source: Alexandria via LeMat-Bulk
Functional: PBE-GGA
Structure: relaxed

formation enthalpy at 0 K: -0.08 eV per atom
polymorph energy (0 for the lowest one): 0.038 eV per atom
crystal system: tetragonal

Cell: 3.576 3.576 7.294 Å, 90.00 90.00 90.00°
Atoms (fractional coordinates):
Pr (0.500, 0.500, 0.500)
Cu (0.000, 0.000, 0.758)
Cu (0.000, 0.000, 0.242)
Th (0.500, 0.500, 0.000)

***

Record 6
Compound: PrThCu10
Source: Alexandria via LeMat-Bulk
Functional: PBE-GGA
Structure: relaxed

formation enthalpy at 0 K: -0.14 eV per atom
crystal system: orthorhombic

Cell: 4.120 5.162 8.852 Å, 90.00 90.00 90.00°
Atoms (fractional coordinates):
Pr (0.000, 0.000, 0.000)
Th (0.000, 0.500, 0.500)
Cu (0.000, 0.000, 0.334)
Cu (0.000, 0.500, 0.833)
Cu (0.000, 0.500, 0.167)
Cu (0.000, 0.000, 0.666)
Cu (0.500, 0.000, 0.500)
Cu (0.500, 0.500, 0.000)
Cu (0.500, 0.252, 0.253)
Cu (0.500, 0.748, 0.747)
Cu (0.500, 0.748, 0.253)
Cu (0.500, 0.252, 0.747)

***

Record 7
Compound: PrThCu4
Source: Alexandria via LeMat-Bulk
Functional: PBE-GGA
Structure: relaxed

formation enthalpy at 0 K: -0.03 eV per atom
polymorph energy (0 for the lowest one): 0.130 eV per atom
crystal system: cubic

Cell: 5.372 5.372 5.372 Å, 60.00 60.00 60.00°
Atoms (fractional coordinates):
Pr (0.000, 0.000, 0.000)
Th (0.250, 0.250, 0.250)
Cu (0.625, 0.625, 0.125)
Cu (0.625, 0.125, 0.625)
Cu (0.625, 0.625, 0.625)
Cu (0.125, 0.625, 0.625)

***

Record 8
Compound: PrThCu4
Source: Alexandria via LeMat-Bulk
Functional: PBE-GGA
Structure: relaxed

formation enthalpy at 0 K: -0.16 eV per atom
polymorph energy (0 for the lowest one): 0.000 eV per atom
crystal system: tetragonal

Cell: 3.946 3.946 8.302 Å, 103.75 103.75 90.00°
Atoms (fractional coordinates):
Pr (0.250, 0.750, 0.500)
Th (0.000, 0.000, 0.000)
Cu (0.669, 0.169, 0.338)
Cu (0.579, 0.579, 0.158)
Cu (0.831, 0.331, 0.662)
Cu (0.421, 0.421, 0.842)

***

no.,total magnetic moment (μB/f.u.)
1,0.0
2,0.0
3,0.4
4,0.0
5,0.0
6,0.0
7,0.0
8,0.0